Computed, not measured: crystalline KPbNO2 at its relaxed geometry at the PBE level of DFT.

The structure in extended XYZ format:
```
5
Lattice="4.428 0.000 0.000 0.000 4.428 0.000 0.000 0.000 4.572" Properties=species:S:1:pos:R:3 pbc="T T T"
K 2.214 2.214 2.286
N 0.000 0.000 2.286
O 2.214 0.000 0.000
O 0.000 2.214 0.000
Pb 0.000 0.000 0.000
```

Computed properties:
As for the formation energy from raw total energies: 5 meV per atom. The calculation puts the density of states at the Fermi level at 1.5 states/eV/cell. As for the total DFT energy (no corrections): -23.024 eV/f.u. As for the space-group type: No. 123.